No. 1
This record from Alexandria via LeMat-Bulk describes crystalline La2TlHg2 at its relaxed geometry. The functional is PBEsol.

Lattice parameters (Å, degrees): 8.390 8.390 4.022 90.00 90.00 90.00
Element x y z (fractional)
1 La 0.175 0.325 0.000
2 La 0.325 0.825 0.000
3 La 0.675 0.175 0.000
4 La 0.825 0.675 0.000
5 Tl 0.000 0.000 0.500
6 Tl 0.500 0.500 0.500
7 Hg 0.124 0.624 0.500
8 Hg 0.376 0.124 0.500
9 Hg 0.624 0.876 0.500
10 Hg 0.876 0.376 0.500

* total energy: -16.94 eV/f.u.
* crystal system: tetragonal
* mass density: 10363 kg/m3

No. 2
This record from Alexandria via LeMat-Bulk describes crystalline La2TlHg at its relaxed geometry. The functional is PBEsol.

Lattice parameters (Å, degrees): 7.754 7.754 7.754 90.00 90.00 90.00
Element x y z (fractional)
1 La 0.250 0.250 0.250
2 La 0.250 0.250 0.750
3 La 0.250 0.750 0.250
4 La 0.250 0.750 0.750
5 La 0.750 0.250 0.250
6 La 0.750 0.250 0.750
7 La 0.750 0.750 0.250
8 La 0.750 0.750 0.750
9 Tl 0.000 0.000 0.000
10 Tl 0.000 0.500 0.500
11 Tl 0.500 0.000 0.500
12 Tl 0.500 0.500 0.000
13 Hg 0.000 0.000 0.500
14 Hg 0.000 0.500 0.000
15 Hg 0.500 0.000 0.000
16 Hg 0.500 0.500 0.500

* total energy: -15.89 eV/f.u.
* crystal system: cubic
* mass density: 9730 kg/m3

No. 3
This record from Alexandria via LeMat-Bulk describes crystalline LaTlHg2 at its relaxed geometry. The functional is PBEsol.

Lattice parameters (Å, degrees): 4.788 4.788 4.521 90.00 90.00 90.00
Element x y z (fractional)
1 La 0.000 0.000 0.000
2 Tl 0.500 0.500 0.000
3 Hg 0.000 0.500 0.500
4 Hg 0.500 0.000 0.500

* energy above the most stable polymorph in this dataset: 23.3 kJ/mol of formula units
* crystal system: tetragonal
* mass density: 11929 kg/m3

No. 4
This record from Alexandria via LeMat-Bulk describes crystalline LaTlHg at its relaxed geometry. The functional is PBEsol.

Lattice parameters (Å, degrees): 7.069 7.069 7.069 90.00 90.00 90.00
Element x y z (fractional)
1 La 0.000 0.000 0.000
2 La 0.000 0.500 0.500
3 La 0.500 0.000 0.500
4 La 0.500 0.500 0.000
5 Tl 0.000 0.000 0.500
6 Tl 0.000 0.500 0.000
7 Tl 0.500 0.000 0.000
8 Tl 0.500 0.500 0.500
9 Hg 0.250 0.250 0.250
10 Hg 0.250 0.750 0.750
11 Hg 0.750 0.250 0.750
12 Hg 0.750 0.750 0.250

* total energy: -9.95 eV/f.u.
* crystal system: cubic
* mass density: 10227 kg/m3

No. 5
This record from Alexandria via LeMat-Bulk describes crystalline LaTl2Hg at its relaxed geometry. The functional is PBEsol.

Lattice parameters (Å, degrees): 4.803 4.803 9.254 90.00 90.00 90.00
Element x y z (fractional)
1 La 0.000 0.000 0.000
2 La 0.500 0.500 0.500
3 Tl 0.000 0.000 0.500
4 Tl 0.000 0.500 0.250
5 Tl 0.500 0.000 0.750
6 Tl 0.500 0.500 0.000
7 Hg 0.000 0.500 0.750
8 Hg 0.500 0.000 0.250

* total energy: -12.68 eV/f.u.
* crystal system: tetragonal
* mass density: 11640 kg/m3

No. 6
This record from Alexandria via LeMat-Bulk describes crystalline LaTlHg2 at its relaxed geometry. The functional is PBEsol.

Lattice parameters (Å, degrees): 3.783 3.783 7.281 90.00 90.00 90.00
Element x y z (fractional)
1 La 0.000 0.000 0.000
2 Tl 0.000 0.000 0.500
3 Hg 0.500 0.500 0.261
4 Hg 0.500 0.500 0.739

* energy above the most stable polymorph in this dataset: 47.3 kJ/mol of formula units
* crystal system: tetragonal
* mass density: 11866 kg/m3

No. 7
This record from Alexandria via LeMat-Bulk describes crystalline LaTlHg2 at its relaxed geometry. The functional is PBEsol.

Lattice parameters (Å, degrees): 7.393 7.393 7.393 90.00 90.00 90.00
Element x y z (fractional)
1 La 0.000 0.000 0.000
2 La 0.000 0.500 0.500
3 La 0.500 0.000 0.500
4 La 0.500 0.500 0.000
5 Tl 0.250 0.250 0.750
6 Tl 0.250 0.750 0.250
7 Tl 0.750 0.250 0.250
8 Tl 0.750 0.750 0.750
9 Hg 0.000 0.000 0.500
10 Hg 0.000 0.500 0.000
11 Hg 0.250 0.250 0.250
12 Hg 0.250 0.750 0.750
13 Hg 0.500 0.000 0.000
14 Hg 0.500 0.500 0.500
15 Hg 0.750 0.250 0.750
16 Hg 0.750 0.750 0.250

* energy above the most stable polymorph in this dataset: 25.6 kJ/mol of formula units
* crystal system: cubic
* mass density: 12236 kg/m3

No. 8
This record from Alexandria via LeMat-Bulk describes crystalline LaYTl2Hg at its relaxed geometry. The functional is PBEsol.

Lattice parameters (Å, degrees): 5.568 5.568 5.443 90.00 90.00 90.00
Element x y z (fractional)
1 La 0.000 0.000 0.000
2 Y 0.500 0.500 0.500
3 Tl 0.000 0.500 0.500
4 Tl 0.500 0.000 0.500
5 Hg 0.500 0.500 0.000

* total energy: -17.08 eV/f.u.
* crystal system: tetragonal
* mass density: 8237 kg/m3

No. 9
This record from Alexandria via LeMat-Bulk describes crystalline LaTl2ZnHg at its relaxed geometry. The functional is PBEsol.

Lattice parameters (Å, degrees): 5.181 5.181 4.972 90.00 90.00 90.00
Element x y z (fractional)
1 La 0.000 0.000 0.000
2 Tl 0.000 0.500 0.500
3 Tl 0.500 0.000 0.500
4 Zn 0.500 0.500 0.500
5 Hg 0.500 0.500 0.000

* total energy: -12.92 eV/f.u.
* crystal system: tetragonal
* mass density: 10126 kg/m3

No. 10
This record from Alexandria via LeMat-Bulk describes crystalline LaHg2W at its relaxed geometry. The functional is PBEsol.

Lattice parameters (Å, degrees): 13.893 3.020 4.857 90.00 110.25 90.00
Element x y z (fractional)
1 La 0.000 0.000 0.000
2 La 0.500 0.500 0.000
3 Hg 0.123 0.500 0.622
4 Hg 0.308 0.500 0.310
5 Hg 0.623 0.000 0.622
6 Hg 0.808 0.000 0.310
7 W 0.304 0.000 0.807
8 W 0.804 0.500 0.807

* energy above the most stable polymorph in this dataset: 28.5 kJ/mol of formula units
* crystal system: monoclinic
* mass density: 12577 kg/m3

No. 11
This record from Alexandria via LeMat-Bulk describes crystalline LaHg2W at its relaxed geometry. The functional is PBEsol.

Lattice parameters (Å, degrees): 2.982 2.982 9.282 90.00 90.00 90.00
Element x y z (fractional)
1 La 0.000 0.000 0.000
2 Hg 0.500 0.500 0.277
3 Hg 0.500 0.500 0.723
4 W 0.000 0.000 0.500

* energy above the most stable polymorph in this dataset: 0.0 kJ/mol of formula units
* crystal system: tetragonal
* mass density: 14562 kg/m3

No. 12
This record from Alexandria via LeMat-Bulk describes crystalline LaHg2W at its relaxed geometry. The functional is PBEsol.

Lattice parameters (Å, degrees): 3.048 4.194 6.738 90.00 90.00 90.00
Element x y z (fractional)
1 La 0.000 0.000 0.000
2 Hg 0.500 0.500 0.291
3 Hg 0.500 0.500 0.709
4 W 0.000 0.000 0.500

* energy above the most stable polymorph in this dataset: 0.8 kJ/mol of formula units
* crystal system: orthorhombic
* mass density: 13953 kg/m3